Record 1
Computed, not measured: a crystal of Tb2MgS4 relaxed with PBEsol at the SCAN level of DFT.

Geometry as POSCAR:
```
Tb2MgS4
1.0
-5.502 3.730 4.154
-0.917 -1.602 7.618
2.078 5.292 5.396
Tb Mg S
4 2 8
Cartesian
-3.752 1.992 8.032
-2.254 5.439 6.921
-2.713 4.638 10.730
0.038 2.773 8.653
0.000 0.000 0.000
-1.085 1.855 4.292
-4.299 4.614 8.517
-1.648 2.816 6.516
-0.646 5.367 9.116
-2.090 2.045 10.187
-3.337 7.231 11.273
-4.780 3.909 12.344
-3.779 6.459 14.944
-1.128 4.662 12.942
```

Summary:
Symmetry: Fd-3m (227)
Energy above the most stable polymorph in this dataset: 0.001 eV per atom
Energy: -21.720 eV per atom

=====

Record 2
Computed, not measured: a crystal of Tb2MgS4 relaxed with PBEsol at the SCAN level of DFT.

Geometry as POSCAR:
```
Tb2MgS4
1.0
-3.578 -1.014 -0.555
1.235 -0.824 6.289
-3.749 11.964 2.303
Tb Mg S
4 2 8
Cartesian
-4.862 8.563 2.960
-1.489 2.390 5.236
-4.374 5.502 5.411
-0.464 0.621 1.855
-5.754 9.825 6.404
-1.814 5.012 2.540
-2.618 7.057 3.981
-2.623 0.351 3.533
-5.530 11.350 2.172
-2.392 4.615 6.990
-3.621 10.070 4.945
-3.559 3.526 3.761
-5.183 7.455 7.055
-1.048 3.112 1.067
```

Summary:
Symmetry: Cmc2_1 (36)
Energy above the most stable polymorph in this dataset: 0.000 eV per atom
Energy: -21.720 eV per atom

=====

It is found that the formation energy from raw total energies values, taken in the order of the records, are -2147, -2147 meV/atom.
It is found that the mass density values, taken in the order of the records, are 4.59, 5.27 Mg/m³.